# IrRh8

A geometry-optimized IrRh8 structure (PBE, Alexandria via LeMat-Bulk).

Output
Fermi-level density of states: 1.07 states/eV per atom
total energy: -7.5252 eV per atom
formation energy from the elements: -6 meV/atom
total moment: 0.00 μB per formula unit
space group: I4/mmm (139)

abc: 6.0794 6.0794 6.0794
angles: 95.73 95.73 143.18
Positions (direct):
Ir: 0.0000 0.0000 0.0000
Rh: 0.0000 0.3326 0.3326
Rh: 0.0000 0.6674 0.6674
Rh: 0.3326 0.0000 0.3326
Rh: 0.3348 0.3348 0.6697
Rh: 0.3348 0.6652 0.0000
Rh: 0.6652 0.3348 0.0000
Rh: 0.6652 0.6652 0.3303
Rh: 0.6674 0.0000 0.6674